A relaxed Th2Co4NiGe3 crystal, computed with PBE.

The structure in POSCAR format:
```
Th2Co4NiGe3
1.0
4.0054 0.0000 0.0000
0.0000 4.0054 0.0000
0.0000 0.0000 10.1142
Co Ge Th Ni
4 3 2 1
Direct
0.5000 0.5000 0.0000
0.0000 0.5000 0.3637
0.0000 0.0000 0.0000
0.5000 0.0000 0.6363
0.0000 0.5000 0.1262
0.0000 0.0000 0.5000
0.5000 0.0000 0.8738
0.0000 0.5000 0.7402
0.5000 0.0000 0.2598
0.5000 0.5000 0.5000
```

space group: No. 115
calculated formation energy: -0.513 eV per atom